! Ag6PF12 GGA-PBE relaxed; values from VASP
! Magnetic moment ... 0.00 Bohr magnetons per cell
! D(E_F) ... 14.2 states/eV/f.u.
! Formation energy from raw total energies ... -29.06 eV/f.u.
&SYSTEM
  ibrav = 0, nat = 19, ntyp = 3
/
ATOMIC_SPECIES
Ag 107.87 Ag.upf
P 30.97 P.upf
F 19.00 F.upf
ATOMIC_POSITIONS angstrom
Ag 3.124 -4.219 -4.460
Ag 0.403 -1.785 -3.912
Ag 2.880 -3.072 -0.960
Ag -1.053 -4.091 -0.899
Ag 1.669 -6.525 -1.448
Ag -0.809 -5.238 -4.400
P 0.000 0.000 0.000
F 1.067 -3.839 -5.220
F 3.312 -5.226 -2.202
F -0.598 -6.100 -2.358
F 1.005 -4.471 -0.139
F -1.240 -3.084 -3.158
F 2.670 -2.210 -3.001
F 5.916 -3.146 -0.969
F 2.947 -7.106 1.245
F 4.458 -2.014 -6.066
F -3.845 -5.164 -4.391
F -0.876 -1.205 -6.605
F -2.386 -6.296 0.707
CELL_PARAMETERS angstrom
-2.368 -0.543 -6.422
6.545 -1.656 -1.252
-2.106 -6.112 2.315